Entry 1:
A relaxed structure of Ca3Si2SnPt9, computed with PBE.

Results
- Space-group type: P-3m1
- E_form (uncorrected): -10.4 eV per formula unit

abc: 5.664 5.664 11.516
angles: 90.00 90.00 120.00
Positions (direct):
Ca  0.000  0.000  0.000
Ca  0.333  0.667  0.768
Ca  0.667  0.333  0.232
Si  0.333  0.667  0.160
Si  0.667  0.333  0.840
Sn  0.000  0.000  0.500
Pt  0.000  0.500  0.000
Pt  0.163  0.326  0.307
Pt  0.163  0.837  0.307
Pt  0.326  0.163  0.693
Pt  0.500  0.000  0.000
Pt  0.500  0.500  0.000
Pt  0.674  0.837  0.307
Pt  0.837  0.163  0.693
Pt  0.837  0.674  0.693

Entry 2:
A relaxed structure of Ca2SiSnPt6, computed with PBE.

Results
- Space-group type: C2/m
- E_form (uncorrected): -6.9 eV per formula unit

abc: 6.536 6.536 8.518
angles: 126.77 126.77 50.34
Positions (direct):
Ca  0.249  0.249  0.219
Ca  0.751  0.751  0.781
Si  0.000  0.000  0.500
Sn  0.500  0.500  0.000
Pt  0.245  0.744  0.727
Pt  0.246  0.246  0.606
Pt  0.256  0.755  0.273
Pt  0.744  0.245  0.727
Pt  0.754  0.754  0.394
Pt  0.755  0.256  0.273

Entry 3:
A relaxed structure of Ca2TaSi4Pt3, computed with PBE.

Results
- Space-group type: P-4m2
- E_form (uncorrected): -8.2 eV per formula unit

abc: 4.139 4.139 10.629
angles: 90.00 90.00 90.00
Positions (direct):
Ca  0.000  0.500  0.243
Ca  0.500  0.000  0.757
Ta  0.000  0.000  0.500
Si  0.000  0.000  0.000
Si  0.000  0.500  0.645
Si  0.500  0.000  0.355
Si  0.500  0.500  0.000
Pt  0.000  0.500  0.878
Pt  0.500  0.000  0.122
Pt  0.500  0.500  0.500

Entry 4:
A relaxed structure of Ca2TbSi3Pt12, computed with PBE.

Results
- Space-group type: R-3m
- E_form (uncorrected): -9.7 eV per formula unit

abc: 6.863 6.863 6.863
angles: 83.93 83.93 83.93
Positions (direct):
Ca  0.120  0.120  0.120
Ca  0.880  0.880  0.880
Tb  0.500  0.500  0.500
Si  0.000  0.500  0.500
Si  0.500  0.000  0.500
Si  0.500  0.500  0.000
Pt  0.135  0.135  0.576
Pt  0.135  0.576  0.135
Pt  0.168  0.683  0.683
Pt  0.317  0.317  0.832
Pt  0.317  0.832  0.317
Pt  0.424  0.865  0.865
Pt  0.576  0.135  0.135
Pt  0.683  0.168  0.683
Pt  0.683  0.683  0.168
Pt  0.832  0.317  0.317
Pt  0.865  0.424  0.865
Pt  0.865  0.865  0.424